Sr3WSe: relaxed, PBE.

The structure in extended XYZ format:
```
5
Lattice="5.862 0.000 0.000 0.000 5.862 0.000 0.000 0.000 5.862" Properties=species:S:1:pos:R:3 pbc="T T T"
Sr 2.931 0.000 0.000
Sr 0.000 0.000 2.931
Sr 0.000 2.931 0.000
W 2.931 2.931 2.931
Se 0.000 0.000 0.000
```

Results
* VASP energy: -3.93 eV/atom
* energy above the most stable polymorph in this dataset: 0.000 eV/atom
* SG: No. 221
* crystal system: cubic
* ΔE_f (raw): 0.371 eV per atom
* total moment: 0.97 μB/atom